Record 1
Entry from Alexandria: Ba2CuGe after structural relaxation (GGA-PBE).

## Properties
The space-group type is No. 123. The calculation puts the formation energy at -17.3 kJ per mole of atoms.

Unit cell a=3.8982 b=5.7989 c=5.7989 alpha=90.00 beta=90.00 gamma=90.00
Closest atoms and distances in Å follow each position.
Atoms (fractional coordinates):
Ba (0.0000, 0.5000, 0.0000)  4 Ge 3.49, 4 Cu 3.49, 2 Ba 3.90
Ba (0.0000, 0.0000, 0.5000)  4 Ge 3.49, 4 Cu 3.49, 2 Ba 3.90
Ge (0.5000, 0.5000, 0.5000)  8 Ba 3.49, 2 Ge 3.90
Cu (0.5000, 0.0000, 0.0000)  8 Ba 3.49, 2 Cu 3.90

=====

Record 2
Entry from Alexandria: TaNbSb2Au after structural relaxation (GGA-PBE).

## Properties
The space-group type is No. 123. As for the uncorrected formation energy: 1565.2 meV/atom.

Unit cell a=5.1864 b=5.0553 c=5.1864 alpha=90.00 beta=90.00 gamma=90.00
Closest atoms and distances in Å follow each position.
Atoms (fractional coordinates):
Sb (0.0000, 0.0000, 0.5000)  2 Au 2.59
Sb (0.5000, 0.0000, 0.0000)  2 Au 2.59
Au (0.0000, 0.0000, 0.0000)  2 Nb 2.53, 4 Sb 2.59
Ta (0.5000, 0.5000, 0.5000)  8 Sb 3.62, 4 Nb 3.67
Nb (0.0000, 0.5000, 0.0000)  2 Au 2.53

=====

| no. | spin magnetization (μB per cell) | calculated density (g/cm³) |
| --- | --- | --- |
| 1 | 0.00 | 5.20 |
| 2 | 0.43 | 8.72 |